MnAlCr2 after structural relaxation. Source: the Alexandria database, functional GGA-PBE.

Cell: 2.5316 4.0244 4.8511 Å, 90.00 103.02 90.00°
Positions (direct):
Mn (0.0000, 0.0000, 0.0000)
Al (0.5000, 0.0000, 0.5000)
Cr (0.2175, 0.5000, 0.7509)
Cr (0.7825, 0.5000, 0.2491)

Output
Electronic total energy in eV per atom: -8.07

***

Mn2Al2Cr after structural relaxation. Source: the Alexandria database, functional GGA-PBE.

Cell: 6.9252 6.9252 2.7706 Å, 90.00 90.00 90.00°
Positions (direct):
Mn (0.1667, 0.3333, 0.0000)
Mn (0.3333, 0.8333, 0.0000)
Mn (0.6667, 0.1667, 0.0000)
Mn (0.8333, 0.6667, 0.0000)
Al (0.1327, 0.6327, 0.5000)
Al (0.3673, 0.1327, 0.5000)
Al (0.6327, 0.8673, 0.5000)
Al (0.8673, 0.3673, 0.5000)
Cr (0.0000, 0.0000, 0.5000)
Cr (0.5000, 0.5000, 0.5000)

Output
Electronic total energy in eV per atom: -6.98
Polymorph energy (0 for the lowest one) in eV/f.u.: 0.35

***

Mn2AlCr2 after structural relaxation. Source: the Alexandria database, functional GGA-PBE.

Cell: 6.8281 6.8281 2.6449 Å, 90.00 90.00 90.00°
Positions (direct):
Mn (0.1763, 0.3237, 0.0000)
Mn (0.3237, 0.8237, 0.0000)
Mn (0.6763, 0.1763, 0.0000)
Mn (0.8237, 0.6763, 0.0000)
Al (0.0000, 0.0000, 0.5000)
Al (0.5000, 0.5000, 0.5000)
Cr (0.1185, 0.6185, 0.5000)
Cr (0.3815, 0.1185, 0.5000)
Cr (0.6185, 0.8815, 0.5000)
Cr (0.8815, 0.3815, 0.5000)

Output
Electronic total energy in eV per atom: -8.05
Polymorph energy (0 for the lowest one) in eV/f.u.: 1.26

***

MnAlCr2 after structural relaxation. Source: the Alexandria database, functional GGA-PBE.

Cell: 2.9542 2.9542 5.8719 Å, 90.00 90.00 90.00°
Positions (direct):
Mn (0.0000, 0.0000, 0.0000)
Al (0.0000, 0.0000, 0.5000)
Cr (0.5000, 0.5000, 0.2346)
Cr (0.5000, 0.5000, 0.7654)

Output
Electronic total energy in eV per atom: -8.06

***

Mn4Al5Cr2 after structural relaxation. Source: the Alexandria database, functional GGA-PBE.

Cell: 8.3789 8.3789 4.8227 Å, 105.91 105.91 27.31°
Positions (direct):
Mn (0.0345, 0.0345, 0.2380)
Mn (0.2776, 0.2776, 0.9397)
Mn (0.7224, 0.7224, 0.0603)
Mn (0.9655, 0.9655, 0.7620)
Al (0.1194, 0.1194, 0.7853)
Al (0.1973, 0.1973, 0.3663)
Al (0.5000, 0.5000, 0.5000)
Al (0.8027, 0.8027, 0.6337)
Al (0.8806, 0.8806, 0.2147)
Cr (0.4169, 0.4169, 0.9072)
Cr (0.5831, 0.5831, 0.0928)

Output
Electronic total energy in eV per atom: -6.87

***

Mn4AlCr after structural relaxation. Source: the Alexandria database, functional GGA-PBE.

Cell: 4.6442 4.6442 4.6442 Å, 60.00 60.00 60.00°
Positions (direct):
Mn (0.1242, 0.1242, 0.1242)
Mn (0.1242, 0.1242, 0.6273)
Mn (0.1242, 0.6273, 0.1242)
Mn (0.6273, 0.1242, 0.1242)
Al (0.7500, 0.7500, 0.7500)
Cr (0.5000, 0.5000, 0.5000)

Output
Electronic total energy in eV per atom: -8.33

***

MnAlCr2 after structural relaxation. Source: the Alexandria database, functional GGA-PBE.

Cell: 4.7700 4.7700 2.5261 Å, 99.15 99.15 117.86°
Positions (direct):
Mn (0.0000, 0.0000, 0.0000)
Al (0.5000, 0.5000, 0.0000)
Cr (0.0000, 0.5000, 0.5000)
Cr (0.5000, 0.0000, 0.5000)

Output
Electronic total energy in eV per atom: -8.03

***

MnAlCr2 after structural relaxation. Source: the Alexandria database, functional GGA-PBE.

Cell: 2.5023 3.9630 4.9414 Å, 90.00 90.00 90.00°
Positions (direct):
Mn (0.0000, 0.0000, 0.0000)
Al (0.0000, 0.0000, 0.5000)
Cr (0.5000, 0.5000, 0.2525)
Cr (0.5000, 0.5000, 0.7475)

Output
Electronic total energy in eV per atom: -7.98

***

MnAl2Cr2 after structural relaxation. Source: the Alexandria database, functional GGA-PBE.

Cell: 6.5050 6.5050 3.1083 Å, 90.00 90.00 90.00°
Positions (direct):
Mn (0.0000, 0.0000, 0.0000)
Mn (0.5000, 0.5000, 0.0000)
Al (0.1362, 0.3638, 0.0000)
Al (0.3638, 0.8638, 0.0000)
Al (0.6362, 0.1362, 0.0000)
Al (0.8638, 0.6362, 0.0000)
Cr (0.1658, 0.6658, 0.5000)
Cr (0.3342, 0.1658, 0.5000)
Cr (0.6658, 0.8342, 0.5000)
Cr (0.8342, 0.3342, 0.5000)

Output
Electronic total energy in eV per atom: -6.91
Polymorph energy (0 for the lowest one) in eV/f.u.: 0.86

***

MnAl2Cr2 after structural relaxation. Source: the Alexandria database, functional GGA-PBE.

Cell: 4.9216 4.9216 6.5152 Å, 90.04 90.04 121.35°
Positions (direct):
Mn (0.2501, 0.7499, 0.0000)
Mn (0.7499, 0.2501, 0.0000)
Al (0.0842, 0.4141, 0.6596)
Al (0.4141, 0.0842, 0.6596)
Al (0.5859, 0.9158, 0.3404)
Al (0.9158, 0.5859, 0.3404)
Cr (0.2503, 0.2503, 0.3052)
Cr (0.2499, 0.2499, 0.9723)
Cr (0.7501, 0.7501, 0.0277)
Cr (0.7497, 0.7497, 0.6948)

Output
Electronic total energy in eV per atom: -7.08
Polymorph energy (0 for the lowest one) in eV/f.u.: 0.00

***

MnAl6Cr after structural relaxation. Source: the Alexandria database, functional GGA-PBE.

Cell: 4.4898 4.4898 7.0285 Å, 102.21 102.21 75.44°
Positions (direct):
Mn (0.0000, 0.0000, 0.0000)
Al (0.0607, 0.5612, 0.1883)
Al (0.1283, 0.1283, 0.4075)
Al (0.4388, 0.9393, 0.8117)
Al (0.5612, 0.0607, 0.1883)
Al (0.8717, 0.8717, 0.5925)
Al (0.9393, 0.4388, 0.8117)
Cr (0.5000, 0.5000, 0.5000)

Output
Electronic total energy in eV per atom: -5.01

***

Mn4Al3Cr after structural relaxation. Source: the Alexandria database, functional GGA-PBE.

Cell: 2.8356 2.8356 12.2962 Å, 90.00 90.00 90.00°
Positions (direct):
Mn (0.0000, 0.0000, 0.1100)
Mn (0.0000, 0.0000, 0.3666)
Mn (0.0000, 0.0000, 0.6334)
Mn (0.0000, 0.0000, 0.8900)
Al (0.5000, 0.5000, 0.2345)
Al (0.5000, 0.5000, 0.5000)
Al (0.5000, 0.5000, 0.7655)
Cr (0.5000, 0.5000, 0.0000)

Output
Electronic total energy in eV per atom: -7.38

***

no.,E_form (eV/atom)
1,-0.028
2,0.107
3,0.218
4,-0.023
5,-0.083
6,0.013
7,0.011
8,0.064
9,0.274
10,0.101
11,0.143
12,-0.192